The following is a DFT calculation (PBE) of NdTeI after structural relaxation.

Values from the calculation:
- total moment (μB/f.u.) = 0.00
- formation energy without anion corrections (eV/atom) = -1.3817
- crystal system = monoclinic
- V (Å³ per atom) = 44.9

Lattice parameters (Å, degrees): 4.553 7.953 7.441 90.82 90.00 90.00
Sites, in units of the cell vectors:
I 0.250 0.584 0.739
Nd 0.250 0.228 0.508
I 0.750 0.416 0.261
Nd 0.750 0.772 0.492
Te 0.250 0.914 0.258
Te 0.750 0.086 0.742

=====

The following is a DFT calculation (PBE) of Rh2C after structural relaxation.

Values from the calculation:
- total moment (μB/f.u.) = 0.00
- crystal system = hexagonal
- E (eV per atom) = -7.5563
- V (Å³ per atom) = 12.0

Lattice parameters (Å, degrees): 2.807 2.807 10.591 90.00 90.00 120.00
Sites, in units of the cell vectors:
C 0.667 0.333 0.750
Rh 0.000 0.000 0.122
C 0.333 0.667 0.250
Rh 0.000 0.000 0.378
Rh 0.000 0.000 0.622
Rh 0.000 0.000 0.878

=====

Question: The lowest V belongs to which entry?
Answer: Rh2C

=====

Question: Number 2 is which compound?
Answer: Rh2C

=====

Question: Which formula does entry 2 have?
Answer: Rh2C